# TaCd2Br (GGA-PBE, optimized geometry)
data_TaCd2Br
_chemical_formula_sum 'Ta2 Cd4 Br2'
_space_group_name_H-M_alt 'I -4 m 2'
_space_group_IT_number 119
_space_group_name_Hall 'I -4 -2'
_cell_length_a 4.320
_cell_length_b 4.320
_cell_length_c 9.214
_cell_angle_alpha 90.00
_cell_angle_beta 90.00
_cell_angle_gamma 90.00
loop_
_atom_site_label
_atom_site_type_symbol
_atom_site_fract_x
_atom_site_fract_y
_atom_site_fract_z
Ta1 Ta 0.000 0.000 0.000
Cd1 Cd 0.000 0.000 0.500
Cd2 Cd 0.000 0.500 0.250
Br1 Br 0.000 0.500 0.750
# ΔE to the lowest computed polymorph ... 684 meV per atom
# Formation energy (no corrections) ... 696 meV/atom

***

# InCoIr2 (GGA-PBE, optimized geometry)
data_InCoIr2
_chemical_formula_sum 'In1 Co1 Ir2'
_space_group_name_H-M_alt 'P m m 2'
_space_group_IT_number 25
_space_group_name_Hall 'P 2 -2'
_cell_length_a 2.803
_cell_length_b 3.756
_cell_length_c 5.754
_cell_angle_alpha 90.00
_cell_angle_beta 90.00
_cell_angle_gamma 90.00
loop_
_atom_site_label
_atom_site_type_symbol
_atom_site_fract_x
_atom_site_fract_y
_atom_site_fract_z
In1 In 0.000 0.000 0.000
Co1 Co 0.500 0.500 0.726
Ir1 Ir 0.000 0.000 0.523
Ir2 Ir 0.500 0.500 0.280
# ΔE_f ... 132 meV/atom

***

# Cs2RbPAu (GGA-PBE, optimized geometry)
data_Cs2RbPAu
_chemical_formula_sum 'Cs2 Rb1 P1 Au1'
_space_group_name_H-M_alt 'P 4/m m m'
_space_group_IT_number 123
_space_group_name_Hall '-P 4 2'
_cell_length_a 7.357
_cell_length_b 7.357
_cell_length_c 4.664
_cell_angle_alpha 90.00
_cell_angle_beta 90.00
_cell_angle_gamma 90.00
loop_
_atom_site_label
_atom_site_type_symbol
_atom_site_fract_x
_atom_site_fract_y
_atom_site_fract_z
Cs1 Cs 0.000 0.500 0.000
Rb1 Rb 0.000 0.000 0.500
P1 P 0.500 0.500 0.000
Au1 Au 0.500 0.500 0.500
# ΔE_f ... -88 meV/atom

***

# Nb3HI7 (GGA-PBE, optimized geometry)
data_Nb3HI7
_chemical_formula_sum 'Nb3 H1 I7'
_space_group_name_H-M_alt 'P 3 m 1'
_space_group_IT_number 156
_space_group_name_Hall 'P 3 -2"'
_cell_length_a 7.5531
_cell_length_b 7.5531
_cell_length_c 7.3969
_cell_angle_alpha 90.00
_cell_angle_beta 90.00
_cell_angle_gamma 120.00
loop_
_atom_site_label
_atom_site_type_symbol
_atom_site_fract_x
_atom_site_fract_y
_atom_site_fract_z
Nb1 Nb 0.2048 0.4096 0.0000
H1 H 0.3333 0.6667 0.1425
I1 I 0.0000 0.0000 0.8059
I2 I 0.0016 0.5008 0.7373
I3 I 0.3405 0.1703 0.2144
# Energy ... -48.39 eV/f.u.

***

# ReS (GGA-PBE, optimized geometry)
data_ReS
_chemical_formula_sum 'Re6 S6'
_space_group_name_H-M_alt 'P m m n'
_space_group_IT_number 59
_cell_length_a 3.076
_cell_length_b 12.480
_cell_length_c 5.549
_cell_angle_alpha 90.00
_cell_angle_beta 90.00
_cell_angle_gamma 90.00
loop_
_space_group_symop_operation_xyz
'x,y,z'
'-x,-y,-z'
'-x+1/2,-y+1/2,z'
'x+1/2,y+1/2,-z'
'x+1/2,-y,-z'
'-x+1/2,y,z'
'-x,y+1/2,-z'
'x,-y+1/2,z'
loop_
_atom_site_label
_atom_site_type_symbol
_atom_site_fract_x
_atom_site_fract_y
_atom_site_fract_z
Re1 Re 0.250 0.077 0.112
Re2 Re 0.250 0.750 0.485
S1 S 0.250 0.250 0.225
S2 S 0.250 0.608 0.201
# ΔE to the lowest computed polymorph ... 283 meV per atom
# Formation energy (no corrections) ... 214 meV/atom

***

# Ce4Ir2I (GGA-PBE, optimized geometry)
data_Ce4Ir2I
_chemical_formula_sum 'Ce12 Ir6 I3'
_space_group_name_H-M_alt 'R -3 m'
_space_group_IT_number 166
_space_group_name_Hall '-R 3 2"'
_cell_length_a 4.1411
_cell_length_b 4.1411
_cell_length_c 41.9053
_cell_angle_alpha 90.00
_cell_angle_beta 90.00
_cell_angle_gamma 120.00
loop_
_atom_site_label
_atom_site_type_symbol
_atom_site_fract_x
_atom_site_fract_y
_atom_site_fract_z
Ce1 Ce 0.0000 0.0000 0.1310
Ce2 Ce 0.0000 0.0000 0.2734
Ir1 Ir 0.0000 0.0000 0.4286
I1 I 0.0000 0.0000 0.0000
# Formation energy (no corrections) ... -705 meV/atom

***

Number 1: V 21.49 Å³/atom, total moment 1.28 μB/cell, mass density 9.38 g/cm3. Number 2: V 15.15 Å³/atom, total moment 1.34 μB/cell, mass density 15.30 g/cm3. Number 3: V 50.49 Å³/atom, total moment 0.00 μB/cell, mass density 3.81 g/cm3. Number 4: V 33.22 Å³/atom, total moment 1.01 μB/cell, mass density 5.31 g/cm3. Number 5: V 17.75 Å³/atom, total moment 0.00 μB/cell, mass density 10.21 g/cm3. Number 6: V 29.64 Å³/atom, total moment 12.20 μB/cell, mass density 8.58 g/cm3.